# Ta2RhC | the Alexandria database | PBEsol | relaxed
data_Ta2RhC
_chemical_formula_sum 'Ta8 Rh4 C4'
_cell_length_a 6.0401
_cell_length_b 6.0401
_cell_length_c 6.0401
_cell_angle_alpha 90.00
_cell_angle_beta 90.00
_cell_angle_gamma 90.00
_symmetry_space_group_name_H-M 'F m -3 m'
_symmetry_Int_Tables_number 225
_symmetry_space_group_name_Hall '-F 4 2 3'
loop_
_atom_site_label
_atom_site_type_symbol
_atom_site_fract_x
_atom_site_fract_y
_atom_site_fract_z
Ta1 Ta 0.2500 0.2500 0.2500
Rh1 Rh 0.0000 0.0000 0.0000
C1 C 0.0000 0.0000 0.5000
# Total moment = 0.00 μB/cell
# Density of states at the Fermi level = 1.04 states/eV/atom
# E_form = 0.62 eV/atom
# Theoretical density = 14.37 Mg/m³